This record from the Alexandria database describes crystalline PrNbRh2 at its relaxed geometry. The functional is PBE.

Unit cell a=3.2365 b=3.2365 c=7.4341 alpha=90.00 beta=90.00 gamma=90.00
Last column: nearest neighbours and their distance in Å.
Element x y z (fractional)
Pr 0.0000 0.0000 0.0000  8 Rh 3.22, 4 Pr 3.24
Nb 0.0000 0.0000 0.5000  8 Rh 2.71
Rh 0.5000 0.5000 0.3045  4 Nb 2.71, 1 Rh 2.91
Rh 0.5000 0.5000 0.6955  4 Nb 2.71, 1 Rh 2.91

Total energy ... -31.25 eV per formula unit
Calculated volume ... 77.9 Å³/cell
Space group ... No. 123



This record from the Alexandria database describes crystalline PrNb2Ru2 at its relaxed geometry. The functional is PBE.

Unit cell a=6.2008 b=6.2008 c=6.2008 alpha=138.23 beta=138.23 gamma=60.55
Last column: nearest neighbours and their distance in Å.
Element x y z (fractional)
Pr 0.0000 0.0000 0.0000  8 Ru 3.39, 8 Nb 3.47
Nb 0.2500 0.7500 0.5000  4 Ru 2.60
Nb 0.7500 0.2500 0.5000  4 Ru 2.60
Ru 0.3776 0.3776 0.0000  4 Nb 2.60, 1 Ru 2.62
Ru 0.6224 0.6224 0.0000  4 Nb 2.60, 1 Ru 2.62

Total energy ... -44.52 eV per formula unit
Calculated volume ... 104.7 Å³/cell
Space group ... No. 139



This record from the Alexandria database describes crystalline PrNbSi2Ru at its relaxed geometry. The functional is PBE.

Unit cell a=6.2582 b=6.2582 c=6.2582 alpha=141.72 beta=141.72 gamma=55.24
Last column: nearest neighbours and their distance in Å.
Element x y z (fractional)
Pr 0.0000 0.0000 0.0000  8 Si 3.16, 4 Ru 3.45, 4 Nb 3.45
Nb 0.2500 0.7500 0.5000  4 Si 2.55
Si 0.3872 0.3872 0.0000  1 Si 2.50, 2 Ru 2.55, 2 Nb 2.55
Si 0.6128 0.6128 0.0000  1 Si 2.50, 2 Nb 2.55, 2 Ru 2.55
Ru 0.7500 0.2500 0.5000  4 Si 2.55

Calculated volume ... 93.4 Å³/cell
Formation energy from raw total energies ... -0.648 eV per atom
Space group ... No. 119



This record from the Alexandria database describes crystalline PrTaNbRu2 at its relaxed geometry. The functional is PBE.

Unit cell a=6.2285 b=6.2285 c=6.2285 alpha=138.61 beta=138.61 gamma=59.97
Last column: nearest neighbours and their distance in Å.
Element x y z (fractional)
Pr 0.0000 0.0000 0.0000  8 Ru 3.38, 4 Ta 3.48, 4 Nb 3.48
Ta 0.2500 0.7500 0.5000  4 Ru 2.60
Nb 0.7500 0.2500 0.5000  4 Ru 2.60
Ru 0.3777 0.3777 0.0000  2 Ta 2.60, 2 Nb 2.60, 1 Ru 2.64
Ru 0.6223 0.6223 0.0000  2 Ta 2.60, 2 Nb 2.60, 1 Ru 2.64

Total energy ... -46.44 eV per formula unit
Calculated volume ... 104.6 Å³/cell
Space group ... No. 119



This record from the Alexandria database describes crystalline PrNbS4 at its relaxed geometry. The functional is PBE.

Unit cell a=6.5569 b=6.5668 c=6.5876 alpha=90.00 beta=98.71 gamma=90.00
Last column: nearest neighbours and their distance in Å.
Element x y z (fractional)
Pr 0.0000 0.0000 0.0000  4 S 2.75-2.83
Pr 0.0000 0.5000 0.5000  4 S 2.75-2.83
Nb 0.5000 0.0000 0.5000  6 S 2.36-2.58
Nb 0.5000 0.5000 0.0000  6 S 2.36-2.58
S 0.1672 0.1371 0.3985  1 Nb 2.36
S 0.1672 0.3629 0.8985  1 Nb 2.36
S 0.3656 0.6838 0.2882  2 Nb 2.52-2.58
S 0.3656 0.8162 0.7882  2 Nb 2.52-2.58
S 0.6344 0.1838 0.2118  2 Nb 2.52-2.58
S 0.6344 0.3162 0.7118  2 Nb 2.52-2.58
S 0.8328 0.6371 0.1015  1 Nb 2.36
S 0.8328 0.8629 0.6015  1 Nb 2.36

Calculated volume ... 280.4 Å³/cell
Formation energy from raw total energies ... -1.121 eV per atom
Space group ... No. 14



This record from the Alexandria database describes crystalline PrNb4S8 at its relaxed geometry. The functional is PBE.

Unit cell a=6.8763 b=6.8763 c=8.8950 alpha=122.39 beta=122.39 gamma=60.71
Last column: nearest neighbours and their distance in Å.
Element x y z (fractional)
Pr 0.0000 0.0000 0.0000  6 S 2.83-2.88
Nb 0.2750 0.2750 0.5060  6 S 2.45-2.60
Nb 0.2937 0.7063 0.5000  6 S 2.47-2.60
Nb 0.7063 0.2937 0.5000  6 S 2.47-2.60
Nb 0.7250 0.7250 0.4940  6 S 2.45-2.60
S 0.0016 0.0016 0.6826  3 Nb 2.60, 1 Pr 2.83
S 0.0232 0.5160 0.7220  3 Nb 2.48-2.60
S 0.4630 0.4630 0.2463  3 Nb 2.45-2.47
S 0.4840 0.9768 0.2780  3 Nb 2.48-2.60
S 0.5160 0.0232 0.7220  3 Nb 2.48-2.60
S 0.5370 0.5370 0.7537  3 Nb 2.45-2.47
S 0.9768 0.4840 0.2780  3 Nb 2.48-2.60
S 0.9984 0.9984 0.3174  3 Nb 2.60, 1 Pr 2.83

Calculated volume ... 287.6 Å³/cell
Formation energy from raw total energies ... -1.228 eV per atom
Space group ... No. 12



What is the formula in the second record?
PrNb2Ru2